# 1
PrErSb2 | PBE-GGA | optimized geometry

E_tot ... -5.51 eV per atom
Magnetization ... 0.00 μB/f.u.
Space group ... P4/mmm (123)

a b c (Å): 4.457 4.457 6.303
angles (deg): 90.00 90.00 90.00
Positions (direct):
Er  0.500  0.500  0.500
Pr  0.000  0.000  0.000
Sb  0.500  0.500  0.000
Sb  0.000  0.000  0.500



# 2
PrErSc | PBE-GGA | optimized geometry

Energy of formation from the pure elements ... 0.677 eV per atom
Magnetization ... 0.38 μB/f.u.
Space group ... F-43m (216)

a b c (Å): 5.295 5.295 5.295
angles (deg): 60.00 60.00 60.00
Positions (direct):
Er  0.250  0.250  0.250
Pr  0.750  0.750  0.750
Sc  0.000  0.000  0.000



Among the records above, which one has the lowest magnetization? PrErSb2



Copy entry 1 word for word.
PrErSb2 | PBE-GGA | optimized geometry

E_tot ... -5.51 eV per atom
Magnetization ... 0.00 μB/f.u.
Space group ... P4/mmm (123)

a b c (Å): 4.457 4.457 6.303
angles (deg): 90.00 90.00 90.00
Positions (direct):
Er  0.500  0.500  0.500
Pr  0.000  0.000  0.000
Sb  0.500  0.500  0.000
Sb  0.000  0.000  0.500